Run w
The following is a GGA-PBE calculation of a relaxed Ca2BiCl crystal, from Alexandria via LeMat-Bulk.

abc: 8.074 8.074 8.074
angles: 32.53 32.53 32.53
Sites, in units of the cell vectors:
Ca  0.000  0.000  0.000
Ca  0.186  0.186  0.186
Bi  0.595  0.595  0.595
Cl  0.774  0.774  0.774

Size of the total moment (μB per formula unit): 0.00
V (Å³/f.u.): 135

=====

Run x
The following is a GGA-PBE calculation of a relaxed Ca2BiCl crystal, from Alexandria via LeMat-Bulk.

abc: 7.405 7.405 7.405
angles: 36.23 36.23 36.23
Sites, in units of the cell vectors:
Ca  0.246  0.246  0.246
Ca  0.754  0.754  0.754
Bi  0.500  0.500  0.500
Cl  0.000  0.000  0.000

Size of the total moment (μB per formula unit): 0.00
V (Å³/f.u.): 127

=====

Run y
The following is a GGA-PBE calculation of a relaxed Ca2BiCl crystal, from Alexandria via LeMat-Bulk.

abc: 5.818 10.207 4.655
angles: 90.00 90.00 90.00
Sites, in units of the cell vectors:
Ca  0.000  0.049  0.000
Ca  0.000  0.622  0.998
Ca  0.500  0.378  0.498
Ca  0.500  0.951  0.500
Bi  0.000  0.834  0.500
Bi  0.500  0.166  0.000
Cl  0.000  0.443  0.494
Cl  0.500  0.557  0.994

Size of the total moment (μB per formula unit): 0.00
V (Å³/f.u.): 138

=====

Least stable structure among those shown: run w.